This record from the Alexandria database describes a relaxed structure of U2Fe9Si6. The functional is PBE.

Unit cell a=5.0547 b=5.0547 c=11.0912 alpha=90.00 beta=90.00 gamma=120.00
Positions (direct):
Fe (0.0000, 0.5000, 0.8311)
Fe (0.5000, 0.5000, 0.5000)
Fe (0.0000, 0.5000, 0.1689)
Fe (0.5000, 0.5000, 0.1689)
Fe (0.5000, 0.0000, 0.5000)
Fe (0.0000, 0.5000, 0.5000)
Fe (0.5000, 0.5000, 0.8311)
Fe (0.5000, 0.0000, 0.8311)
Fe (0.5000, 0.0000, 0.1689)
Si (0.3333, 0.6667, 0.6632)
Si (0.3333, 0.6667, 0.0000)
Si (0.3333, 0.6667, 0.3368)
Si (0.6667, 0.3333, 0.0000)
Si (0.6667, 0.3333, 0.3368)
Si (0.6667, 0.3333, 0.6632)
U (0.0000, 0.0000, 0.6890)
U (0.0000, 0.0000, 0.3110)

## Properties
For the calculated total energy, the calculation gives -7.93 eV per atom.

=====

This record from the Alexandria database describes a relaxed structure of Cs3PaF6. The functional is PBE.

Unit cell a=6.8513 b=6.8513 c=7.8761 alpha=112.90 beta=112.90 gamma=96.04
Positions (direct):
Cs (0.5000, 0.5000, 0.0000)
Cs (0.7500, 0.2500, 0.5000)
Cs (0.2500, 0.7500, 0.5000)
F (0.9353, 0.9353, 0.2348)
F (0.0647, 0.0647, 0.7652)
F (0.2995, 0.2995, 0.2348)
F (0.7828, 0.2172, 0.0000)
F (0.2172, 0.7828, 0.0000)
F (0.7005, 0.7005, 0.7652)
Pa (0.0000, 0.0000, 0.0000)

## Properties
For the calculated total energy, the calculation gives -5.38 eV per atom.

=====

This record from the Alexandria database describes a relaxed structure of As2BrN. The functional is PBE.

Unit cell a=4.5652 b=4.5652 c=4.5652 alpha=60.00 beta=60.00 gamma=60.00
Positions (direct):
Br (0.5000, 0.5000, 0.5000)
As (0.7500, 0.7500, 0.7500)
As (0.2500, 0.2500, 0.2500)
N (0.0000, 0.0000, 0.0000)

## Properties
For the calculated total energy, the calculation gives -3.32 eV per atom.

=====

This record from the Alexandria database describes a relaxed structure of CeTm2Zn. The functional is PBE.

Unit cell a=3.4723 b=3.4723 c=10.3957 alpha=80.39 beta=80.39 gamma=60.00
Positions (direct):
Tm (0.2599, 0.2599, 0.2204)
Tm (0.7401, 0.7401, 0.7796)
Ce (0.5000, 0.5000, 0.5000)
Zn (0.0000, 0.0000, 0.0000)

## Properties
For the calculated total energy, the calculation gives -4.08 eV per atom. The formation energy comes out at -0.0455 eV/atom.

=====

This record from the Alexandria database describes a relaxed structure of TbErAg2Te4. The functional is PBE.

Unit cell a=4.4016 b=7.6185 c=7.4433 alpha=109.74 beta=90.00 gamma=90.00
Positions (direct):
Er (0.5000, 0.5000, 0.0000)
Ag (0.5000, 0.0000, 0.5000)
Ag (0.0000, 0.5000, 0.5000)
Te (0.5000, 0.7473, 0.7462)
Te (0.0000, 0.2525, 0.7473)
Te (0.0000, 0.7475, 0.2527)
Te (0.5000, 0.2527, 0.2538)
Tb (0.0000, 0.0000, 0.0000)

## Properties
For the calculated total energy, the calculation gives -4.26 eV per atom.

=====

This record from the Alexandria database describes a relaxed structure of DySc2. The functional is PBE.

Unit cell a=3.3560 b=3.3560 c=7.4901 alpha=102.95 beta=102.95 gamma=90.00
Positions (direct):
Sc (0.3287, 0.3287, 0.6574)
Sc (0.6713, 0.6713, 0.3426)
Dy (0.0000, 0.0000, 0.0000)

## Properties
For the calculated total energy, the calculation gives -5.70 eV per atom. The formation energy comes out at 0.0539 eV/atom.

=====

This record from the Alexandria database describes a relaxed structure of Co3SiAu. The functional is PBE.

Unit cell a=4.6552 b=4.6552 c=4.6552 alpha=90.00 beta=90.00 gamma=90.00
Positions (direct):
Au (0.0000, 0.0000, 0.0000)
Co (0.5000, 0.0000, 0.0000)
Co (0.0000, 0.5000, 0.0000)
Co (0.0000, 0.0000, 0.5000)
Si (0.5000, 0.5000, 0.5000)

## Properties
For the calculated total energy, the calculation gives -4.38 eV per atom.

=====

This record from the Alexandria database describes a relaxed structure of PrSm3Tl2. The functional is PBE.

Unit cell a=5.4804 b=9.4497 c=9.4495 alpha=124.09 beta=90.00 gamma=106.86
Positions (direct):
Sm (0.0594, 0.1189, 0.4048)
Sm (0.3052, 0.6104, 0.6079)
Sm (0.9406, 0.8811, 0.5952)
Sm (0.6948, 0.3896, 0.3921)
Sm (0.6177, 0.2354, 0.6918)
Sm (0.3823, 0.7646, 0.3082)
Pr (0.8706, 0.7412, 0.9145)
Pr (0.1294, 0.2588, 0.0855)
Tl (0.7752, 0.5505, 0.1428)
Tl (0.2248, 0.4495, 0.8572)
Tl (0.5172, 0.0345, 0.8641)
Tl (0.4828, 0.9655, 0.1359)

## Properties
For the calculated total energy, the calculation gives -4.12 eV per atom. The formation energy comes out at -0.1800 eV/atom.

=====

This record from the Alexandria database describes a relaxed structure of PrNd2Tm2. The functional is PBE.

Unit cell a=5.8540 b=7.1198 c=9.4078 alpha=112.23 beta=108.13 gamma=90.00
Positions (direct):
Tm (0.9996, 0.2496, 0.4992)
Tm (0.0004, 0.7504, 0.5008)
Tm (0.3855, 0.6355, 0.2711)
Tm (0.6145, 0.3645, 0.7289)
Nd (0.8103, 0.3141, 0.1206)
Nd (0.1897, 0.1935, 0.8794)
Nd (0.1897, 0.6859, 0.8794)
Nd (0.8103, 0.8065, 0.1206)
Pr (0.6126, 0.8626, 0.7251)
Pr (0.3874, 0.1374, 0.2749)

## Properties
For the calculated total energy, the calculation gives -4.52 eV per atom. The formation energy comes out at 0.1366 eV/atom.

=====

This record from the Alexandria database describes a relaxed structure of CrTcBr2. The functional is PBE.

Unit cell a=5.5436 b=5.5436 c=6.7537 alpha=65.77 beta=65.77 gamma=90.00
Positions (direct):
Br (0.6082, 0.1250, 0.2500)
Br (0.8750, 0.8582, 0.7500)
Br (0.3750, 0.3918, 0.7500)
Br (0.1418, 0.6250, 0.2500)
Tc (0.7500, 0.2500, 0.5000)
Tc (0.0000, 0.0000, 0.0000)
Cr (0.5000, 0.5000, 0.0000)
Cr (0.2500, 0.7500, 0.5000)

## Properties
For the calculated total energy, the calculation gives -4.79 eV per atom.

=====

This record from the Alexandria database describes a relaxed structure of AgHg3. The functional is PBE.

Unit cell a=9.2499 b=4.2849 c=12.1734 alpha=90.00 beta=169.12 gamma=90.00
Positions (direct):
Ag (0.0000, 0.0000, 0.0000)
Hg (0.7742, 0.5000, 0.0159)
Hg (0.5000, 0.0000, 0.0000)
Hg (0.2258, 0.5000, 0.9841)

## Properties
For the calculated total energy, the calculation gives -0.84 eV per atom. The formation energy comes out at 0.0950 eV/atom.

=====

This record from the Alexandria database describes a relaxed structure of MnFe7. The functional is PBE.

Unit cell a=3.9990 b=3.9990 c=6.3219 alpha=108.44 beta=108.44 gamma=90.00
Positions (direct):
Fe (0.8765, 0.3765, 0.7530)
Fe (0.6235, 0.1235, 0.2470)
Fe (0.2495, 0.2495, 0.4990)
Fe (0.7505, 0.7505, 0.5010)
Fe (0.5000, 0.5000, 0.0000)
Fe (0.1235, 0.6235, 0.2470)
Fe (0.3765, 0.8765, 0.7530)
Mn (0.0000, 0.0000, 0.0000)

## Properties
For the calculated total energy, the calculation gives -8.51 eV per atom. The formation energy comes out at 0.0393 eV/atom.

=====

- Which formula does entry 11 have?
  AgHg3